# SrLaPrNd

Crystalline SrLaPrNd at its relaxed geometry (PBE-GGA, the Alexandria database).

Calculated values
VASP energy	-3.84	eV per atom
magnetic moment	1.0	μB/f.u.
crystal system	cubic

Structure (extended XYZ):
```
16
Lattice="8.585 0.000 0.000 0.000 8.585 0.000 0.000 0.000 8.585" Properties=species:S:1:pos:R:3 pbc="T T T"
Sr 0.000 0.000 0.000
Sr 0.000 4.292 4.292
Sr 4.292 0.000 4.292
Sr 4.292 4.292 0.000
La 2.146 2.146 6.439
La 2.146 6.439 2.146
La 6.439 2.146 2.146
La 6.439 6.439 6.439
Pr 2.146 2.146 2.146
Pr 2.146 6.439 6.439
Pr 6.439 2.146 6.439
Pr 6.439 6.439 2.146
Nd 0.000 0.000 4.292
Nd 0.000 4.292 0.000
Nd 4.292 0.000 0.000
Nd 4.292 4.292 4.292
```